FeRe2Pt | PBE | relaxed

Cell: 4.353 4.353 4.353 Å, 60.00 60.00 60.00°
Last column: magnetic moment on the atom in μB.
Element x y z (fractional)
Pt: 0.500 0.500 0.500  -0.03
Re: 0.250 0.250 0.250  -0.01
Fe: 0.000 0.000 0.000  2.43
Re: 0.750 0.750 0.750  -0.01

Results
Crystal system: cubic
Formation energy from the elements, eV/atom: 0.41
DOS(E_F), states/eV/atom: 1.460